The following is a DFT calculation (SCAN) of a PBEsol-optimized structure of Zr2CdHg.

Lattice parameters (Å, degrees): 5.3170 5.3170 3.0327 90.00 90.00 107.47
With the nearest neighbours (Å) after each atom.
Element x y z (fractional)
Zr: 0.0000 0.5000 0.0000  4 Zr 3.03-3.15, 4 Cd 3.06, 4 Hg 3.06
Zr: 0.5000 0.0000 0.0000  4 Zr 3.03-3.15, 4 Cd 3.06, 4 Hg 3.06
Cd: 0.0000 0.0000 0.5000  2 Cd 3.03, 8 Zr 3.06, 2 Hg 3.15
Hg: 0.5000 0.5000 0.5000  2 Hg 3.03, 8 Zr 3.06, 2 Cd 3.15

Values from the calculation:
- DOS at the Fermi energy (states/eV/cell) = 3.65
- energy above the most stable polymorph in this dataset (eV per atom) = 0.004

---

The following is a DFT calculation (SCAN) of a PBEsol-optimized structure of AlFeSnSb2.

Lattice parameters (Å, degrees): 5.5677 5.5677 5.0188 90.00 90.00 90.00
With the nearest neighbours (Å) after each atom.
Element x y z (fractional)
Al: 0.0000 0.0000 0.0000  2 Sn 2.51
Fe: 0.5000 0.5000 0.0000  8 Sb 3.75, 4 Al 3.94
Sn: 0.0000 0.0000 0.5000  2 Al 2.51, 4 Sb 2.78
Sb: 0.0000 0.5000 0.5000  2 Sn 2.78
Sb: 0.5000 0.0000 0.5000  2 Sn 2.78

Values from the calculation:
- DOS at the Fermi energy (states/eV/cell) = 3.42
- formation energy from raw total energies (eV per atom) = 1.315

---

The following is a DFT calculation (SCAN) of a PBEsol-optimized structure of HfAlH2.

Lattice parameters (Å, degrees): 5.5712 5.5712 5.5712 134.66 134.66 66.06
With the nearest neighbours (Å) after each atom.
Element x y z (fractional)
Hf: 0.0000 0.0000 0.0000  4 H 1.91
Hf: 0.7500 0.2500 0.5000  4 H 1.91
Al: 0.2500 0.7500 0.5000  4 H 1.92
Al: 0.5000 0.5000 0.0000  4 H 1.92
H: 0.1248 0.6250 0.9998  2 Hf 1.91, 2 Al 1.92
H: 0.3750 0.3748 0.4998  2 Hf 1.91, 2 Al 1.92
H: 0.6252 0.1250 0.0002  2 Hf 1.91, 2 Al 1.92
H: 0.8750 0.8752 0.5002  2 Hf 1.91, 2 Al 1.92

Values from the calculation:
- DOS at the Fermi energy (states/eV/cell) = 2.43
- total DFT energy (no corrections) (eV/cell) = -155.58

---

The following is a DFT calculation (SCAN) of a PBEsol-optimized structure of In2TePb.

Lattice parameters (Å, degrees): 5.3842 5.3842 5.3842 60.00 60.00 60.00
With the nearest neighbours (Å) after each atom.
Element x y z (fractional)
In: 0.2500 0.2500 0.2500  4 Pb 3.30, 4 Te 3.30
In: 0.7500 0.7500 0.7500  4 Pb 3.30, 4 Te 3.30
Te: 0.0000 0.0000 0.0000  8 In 3.30
Pb: 0.5000 0.5000 0.5000  8 In 3.30

Values from the calculation:
- DOS at the Fermi energy (states/eV/cell) = 2.14
- formation energy from raw total energies (eV per atom) = 0.085
- energy above the most stable polymorph in this dataset (eV per atom) = 0.105

---

The following is a DFT calculation (SCAN) of a PBEsol-optimized structure of BaCa2Os.

Lattice parameters (Å, degrees): 5.5213 5.5213 5.5213 126.97 126.97 78.30
With the nearest neighbours (Å) after each atom.
Element x y z (fractional)
Ba: 0.0000 0.0000 0.0000  8 Ca 3.26, 4 Os 3.49
Ca: 0.2500 0.7500 0.5000  4 Os 3.26, 4 Ba 3.26, 4 Ca 3.49
Ca: 0.7500 0.2500 0.5000  4 Os 3.26, 4 Ba 3.26, 4 Ca 3.49
Os: 0.5000 0.5000 0.0000  8 Ca 3.26, 4 Ba 3.49

Values from the calculation:
- DOS at the Fermi energy (states/eV/cell) = 2.31
- energy above the most stable polymorph in this dataset (eV per atom) = 0.149

---

The following is a DFT calculation (SCAN) of a PBEsol-optimized structure of SeN2Cl.

Lattice parameters (Å, degrees): 4.0227 4.0227 4.0227 60.00 60.00 60.00
With the nearest neighbours (Å) after each atom.
Element x y z (fractional)
Se: 0.0000 0.0000 0.0000  8 N 2.46
N: 0.2500 0.2500 0.2500  4 Cl 2.46, 4 Se 2.46
N: 0.7500 0.7500 0.7500  4 Cl 2.46, 4 Se 2.46
Cl: 0.5000 0.5000 0.5000  8 N 2.46

Values from the calculation:
- DOS at the Fermi energy (states/eV/cell) = 2.68
- formation energy from raw total energies (eV per atom) = 2.639
- energy above the most stable polymorph in this dataset (eV per atom) = 0.628

---

The following is a DFT calculation (SCAN) of a PBEsol-optimized structure of Cd3WCl.

Lattice parameters (Å, degrees): 5.4192 5.4192 5.4192 90.00 90.00 90.00
With the nearest neighbours (Å) after each atom.
Element x y z (fractional)
Cd: 0.0000 0.0000 0.5000  2 W 2.71
Cd: 0.0000 0.5000 0.0000  2 W 2.71
Cd: 0.5000 0.0000 0.0000  2 W 2.71
W: 0.0000 0.0000 0.0000  6 Cd 2.71
Cl: 0.5000 0.5000 0.5000  12 Cd 3.83

Values from the calculation:
- DOS at the Fermi energy (states/eV/cell) = 2.53
- formation energy from raw total energies (eV per atom) = 1.009

---

The following is a DFT calculation (SCAN) of a PBEsol-optimized structure of SiAsSeBr2.

Lattice parameters (Å, degrees): 4.8486 4.8486 5.0624 90.00 90.00 90.00
With the nearest neighbours (Å) after each atom.
Element x y z (fractional)
Si: 0.0000 0.0000 0.0000  4 Br 2.42, 2 Se 2.53
As: 0.5000 0.5000 0.5000  4 Se 3.43, 8 Br 3.50
Se: 0.0000 0.0000 0.5000  2 Si 2.53
Br: 0.0000 0.5000 0.0000  2 Si 2.42
Br: 0.5000 0.0000 0.0000  2 Si 2.42

Values from the calculation:
- DOS at the Fermi energy (states/eV/cell) = 1.88
- formation energy from raw total energies (eV per atom) = 0.438

---

The following is a DFT calculation (SCAN) of a PBEsol-optimized structure of NbTeSN2.

Lattice parameters (Å, degrees): 3.9513 3.9513 4.9494 90.00 90.00 90.00
With the nearest neighbours (Å) after each atom.
Element x y z (fractional)
Nb: 0.0000 0.0000 0.0000  4 S 2.79
Te: 0.5000 0.5000 0.5000  4 N 1.98
S: 0.5000 0.5000 0.0000  2 Te 2.47
N: 0.0000 0.5000 0.5000  2 Te 1.98
N: 0.5000 0.0000 0.5000  2 Te 1.98

Values from the calculation:
- DOS at the Fermi energy (states/eV/cell) = 2.22
- formation energy from raw total energies (eV per atom) = 1.317

---

The following is a DFT calculation (SCAN) of a PBEsol-optimized structure of KLi2Hg2.

Lattice parameters (Å, degrees): 7.1125 7.1125 7.1125 143.24 143.24 52.97
With the nearest neighbours (Å) after each atom.
Element x y z (fractional)
K: 0.0000 0.0000 0.0000  8 Hg 3.50, 8 Li 3.89
Li: 0.2500 0.7500 0.5000  4 Hg 2.82
Li: 0.7500 0.2500 0.5000  4 Hg 2.82
Hg: 0.3841 0.3841 0.0000  4 Li 2.82, 1 Hg 2.95
Hg: 0.6159 0.6159 0.0000  4 Li 2.82, 1 Hg 2.95

Values from the calculation:
- DOS at the Fermi energy (states/eV/cell) = 2.23
- energy above the most stable polymorph in this dataset (eV per atom) = 0.009

---

The following is a DFT calculation (SCAN) of a PBEsol-optimized structure of Sm2In.

Lattice parameters (Å, degrees): 5.4037 5.4037 6.7278 90.00 90.00 120.00
With the nearest neighbours (Å) after each atom.
Element x y z (fractional)
Sm: 0.0000 0.0000 0.0000  8 Sm 3.36-3.54, 6 In 3.54
Sm: 0.0000 0.0000 0.5000  8 Sm 3.36-3.54, 6 In 3.54
Sm: 0.3333 0.6667 0.2500  5 In 3.12-3.36
Sm: 0.6667 0.3333 0.7500  5 In 3.12-3.36
In: 0.3333 0.6667 0.7500  5 Sm 3.12-3.36
In: 0.6667 0.3333 0.2500  5 Sm 3.12-3.36

Values from the calculation:
- DOS at the Fermi energy (states/eV/cell) = 6.47
- total DFT energy (no corrections) (eV/cell) = -247.56

---

The following is a DFT calculation (SCAN) of a PBEsol-optimized structure of MgBi2O5.

Lattice parameters (Å, degrees): 5.7901 5.7901 10.8438 90.00 90.00 136.63
With the nearest neighbours (Å) after each atom.
Element x y z (fractional)
Mg: 0.1878 0.8122 0.7500  6 O 2.04-2.27
Mg: 0.8122 0.1878 0.2500  6 O 2.04-2.27
Bi: 0.1395 0.8605 0.0704  5 O 2.15-2.24
Bi: 0.1395 0.8605 0.4296  5 O 2.15-2.24
Bi: 0.8605 0.1395 0.5704  5 O 2.15-2.24
Bi: 0.8605 0.1395 0.9296  5 O 2.15-2.24
O: 0.0553 0.9447 0.6154  1 Mg 2.04, 2 Bi 2.15-2.21
O: 0.0553 0.9447 0.8846  1 Mg 2.04, 2 Bi 2.15-2.21
O: 0.2427 0.7573 0.2500  2 Bi 2.24, 2 Mg 2.27
O: 0.3077 0.6923 0.5810  3 Bi 2.22-2.44, 1 Mg 2.24
O: 0.3077 0.6923 0.9190  3 Bi 2.22-2.44, 1 Mg 2.24
O: 0.6923 0.3077 0.0810  3 Bi 2.22-2.44, 1 Mg 2.24
O: 0.6923 0.3077 0.4190  3 Bi 2.22-2.44, 1 Mg 2.24
O: 0.7573 0.2427 0.7500  2 Bi 2.24, 2 Mg 2.27
O: 0.9447 0.0553 0.1154  1 Mg 2.04, 2 Bi 2.15-2.21
O: 0.9447 0.0553 0.3846  1 Mg 2.04, 2 Bi 2.15-2.21

Values from the calculation:
- DOS at the Fermi energy (states/eV/cell) = 4.94
- formation energy from raw total energies (eV per atom) = -1.346
- energy above the most stable polymorph in this dataset (eV per atom) = 0.022

---

The following is a DFT calculation (SCAN) of a PBEsol-optimized structure of Zr3BeSi.

Lattice parameters (Å, degrees): 4.5875 4.5875 4.5875 90.00 90.00 90.00
With the nearest neighbours (Å) after each atom.
Element x y z (fractional)
Zr: 0.0000 0.0000 0.5000  2 Be 2.29
Zr: 0.0000 0.5000 0.0000  2 Be 2.29
Zr: 0.5000 0.0000 0.0000  2 Be 2.29
Be: 0.0000 0.0000 0.0000  6 Zr 2.29
Si: 0.5000 0.5000 0.5000  12 Zr 3.24

Values from the calculation:
- DOS at the Fermi energy (states/eV/cell) = 3.20
- formation energy from raw total energies (eV per atom) = 0.089

---

The following is a DFT calculation (SCAN) of a PBEsol-optimized structure of Ba7Ru4Br2O15.

Lattice parameters (Å, degrees): 17.7791 17.7791 17.7791 18.70 18.70 18.70
With the nearest neighbours (Å) after each atom.
Element x y z (fractional)
Ba: 0.0000 0.0000 0.0000  12 O 2.89-2.92
Ba: 0.0821 0.0821 0.0821  9 O 2.68-2.91
Ba: 0.2088 0.2088 0.2088  3 O 2.55
Ba: 0.2872 0.2872 0.2872  12 O 2.84-2.94
Ba: 0.7128 0.7128 0.7128  12 O 2.84-2.94
Ba: 0.7912 0.7912 0.7912  3 O 2.55
Ba: 0.9179 0.9179 0.9179  9 O 2.68-2.91
Ru: 0.3538 0.3538 0.3538  6 O 1.98
Ru: 0.4032 0.4032 0.4032  6 O 1.89-2.06
Ru: 0.5968 0.5968 0.5968  6 O 1.89-2.06
Ru: 0.6462 0.6462 0.6462  6 O 1.98
Br: 0.1443 0.1443 0.1443  5 Ba 3.26-3.49
Br: 0.8557 0.8557 0.8557  5 Ba 3.26-3.49
O: 0.0000 0.5000 0.5000  2 Ru 1.98
O: 0.1028 0.5820 0.5820  1 Ru 1.89
O: 0.2224 0.2224 0.6874  2 Ru 1.98-2.06
O: 0.2224 0.6874 0.2224  2 Ru 1.98-2.06
O: 0.3126 0.7776 0.7776  2 Ru 1.98-2.06
O: 0.4180 0.4180 0.8972  1 Ru 1.89
O: 0.4180 0.8972 0.4180  1 Ru 1.89
O: 0.5000 0.0000 0.5000  2 Ru 1.98
O: 0.5000 0.5000 0.0000  2 Ru 1.98
O: 0.5820 0.1028 0.5820  1 Ru 1.89
O: 0.5820 0.5820 0.1028  1 Ru 1.89
O: 0.6874 0.2224 0.2224  2 Ru 1.98-2.06
O: 0.7776 0.3126 0.7776  2 Ru 1.98-2.06
O: 0.7776 0.7776 0.3126  2 Ru 1.98-2.06
O: 0.8972 0.4180 0.4180  1 Ru 1.89

Values from the calculation:
- DOS at the Fermi energy (states/eV/cell) = 2.15
- formation energy from raw total energies (eV per atom) = -2.225

---

The following is a DFT calculation (SCAN) of a PBEsol-optimized structure of CaMn2W.

Lattice parameters (Å, degrees): 3.0773 3.0773 7.1122 90.00 90.00 90.00
With the nearest neighbours (Å) after each atom.
Element x y z (fractional)
Ca: 0.0000 0.0000 0.0000  4 Ca 3.08, 8 Mn 3.14
Mn: 0.5000 0.5000 0.3174  4 W 2.53, 1 Mn 2.60
Mn: 0.5000 0.5000 0.6826  4 W 2.53, 1 Mn 2.60
W: 0.0000 0.0000 0.5000  8 Mn 2.53

Values from the calculation:
- DOS at the Fermi energy (states/eV/cell) = 3.25
- energy above the most stable polymorph in this dataset (eV per atom) = 0.000

---

The following is a DFT calculation (SCAN) of a PBEsol-optimized structure of NaTaIO2.

Lattice parameters (Å, degrees): 3.9806 3.9806 6.0978 90.00 90.00 90.00
With the nearest neighbours (Å) after each atom.
Element x y z (fractional)
Na: 0.0000 0.0000 0.0000  4 I 2.81
Ta: 0.5000 0.5000 0.5000  4 O 1.99
I: 0.5000 0.5000 0.0000  4 Na 2.81, 2 Ta 3.05
O: 0.0000 0.5000 0.5000  2 Ta 1.99
O: 0.5000 0.0000 0.5000  2 Ta 1.99

Values from the calculation:
- DOS at the Fermi energy (states/eV/cell) = 1.54
- formation energy from raw total energies (eV per atom) = -1.733

---

The following is a DFT calculation (SCAN) of a PBEsol-optimized structure of La2HgBi.

Lattice parameters (Å, degrees): 5.5101 5.5101 5.5101 60.00 60.00 60.00
With the nearest neighbours (Å) after each atom.
Element x y z (fractional)
La: 0.2500 0.2500 0.2500  4 Hg 3.37, 4 Bi 3.37
La: 0.7500 0.7500 0.7500  4 Hg 3.37, 4 Bi 3.37
Hg: 0.0000 0.0000 0.0000  8 La 3.37
Bi: 0.5000 0.5000 0.5000  8 La 3.37

Values from the calculation:
- DOS at the Fermi energy (states/eV/cell) = 3.00
- total DFT energy (no corrections) (eV/cell) = -236.20

---

The following is a DFT calculation (SCAN) of a PBEsol-optimized structure of LiMo2Cl.

Lattice parameters (Å, degrees): 3.1352 3.8651 5.9472 107.79 104.50 90.02
With the nearest neighbours (Å) after each atom.
Element x y z (fractional)
Li: 0.0000 0.0000 0.0000  4 Cl 2.49
Mo: 0.0000 0.0000 0.5000  4 Mo 2.49
Mo: 0.5000 0.5000 0.5000  4 Mo 2.49
Cl: 0.5000 0.5000 0.0000  4 Li 2.49

Values from the calculation:
- DOS at the Fermi energy (states/eV/cell) = 2.94
- formation energy from raw total energies (eV per atom) = 0.384
- energy above the most stable polymorph in this dataset (eV per atom) = 0.379

---

The following is a DFT calculation (SCAN) of a PBEsol-optimized structure of Mg3Ag2.

Lattice parameters (Å, degrees): 11.9181 11.9181 11.9181 14.68 14.68 14.68
With the nearest neighbours (Å) after each atom.
Element x y z (fractional)
Mg: 0.0000 0.0000 0.0000  6 Ag 2.88, 6 Mg 3.04
Mg: 0.2044 0.2044 0.2044  3 Ag 2.88, 9 Mg 3.04-3.20
Mg: 0.7956 0.7956 0.7956  3 Ag 2.88, 9 Mg 3.04-3.20
Ag: 0.3978 0.3978 0.3978  6 Mg 2.88, 6 Ag 3.04
Ag: 0.6022 0.6022 0.6022  6 Mg 2.88, 6 Ag 3.04

Values from the calculation:
- DOS at the Fermi energy (states/eV/cell) = 1.64
- energy above the most stable polymorph in this dataset (eV per atom) = 0.103

---

The following is a DFT calculation (SCAN) of a PBEsol-optimized structure of NaTa2Fe.

Lattice parameters (Å, degrees): 4.4223 4.4223 4.4223 60.00 60.00 60.00
With the nearest neighbours (Å) after each atom.
Element x y z (fractional)
Na: 0.0000 0.0000 0.0000  8 Ta 2.71
Ta: 0.2500 0.2500 0.2500  4 Fe 2.71, 4 Na 2.71
Ta: 0.7500 0.7500 0.7500  4 Fe 2.71, 4 Na 2.71
Fe: 0.5000 0.5000 0.5000  8 Ta 2.71

Values from the calculation:
- DOS at the Fermi energy (states/eV/cell) = 3.50
- total DFT energy (no corrections) (eV/cell) = -152.17